1.
First-principles (GGA-PBE) data for a relaxed Ga2PO4 crystal, as listed in Alexandria via LeMat-Bulk.

abc: 3.3029 3.3029 7.8320
angles: 77.83 77.83 90.00
Fractional positions:
O 0.1177 0.1177 0.7647
O 0.8823 0.8823 0.2353
O 0.0000 0.5000 0.0000
O 0.5000 0.0000 0.0000
Ga 0.3368 0.3368 0.3264
Ga 0.6632 0.6632 0.6736
P 0.0000 0.0000 0.0000

As for the total magnetization: 0.0 μB/f.u. For the total DFT energy (no corrections), the calculation gives -5.481 eV per atom. As for the formation energy without anion corrections: -1010 meV/atom.



2.
First-principles (GGA-PBE) data for a relaxed Na3Nd3TeS8 crystal, as listed in Alexandria via LeMat-Bulk.

abc: 8.1909 8.1905 8.2203
angles: 119.90 90.00 120.00
Fractional positions:
Na 0.0000 0.0000 0.0000
Na 0.0000 0.5000 0.0000
Na 0.5000 0.5000 0.0000
S 0.7681 0.5361 0.2763
S 0.7441 0.4882 0.7322
S 0.7600 0.9919 0.7237
S 0.7681 0.0081 0.2763
S 0.2319 0.9919 0.7237
S 0.2400 0.0081 0.2763
S 0.2559 0.5118 0.2678
S 0.2319 0.4639 0.7237
Nd 0.0000 0.5000 0.5000
Nd 0.5000 0.5000 0.5000
Nd 0.5000 0.0000 0.5000
Te 0.0000 0.0000 0.5000

As for the total magnetization: 0.0 μB/f.u. For the total DFT energy (no corrections), the calculation gives -5.050 eV per atom. As for the formation energy without anion corrections: -1421 meV/atom.



3.
First-principles (GGA-PBE) data for a relaxed RbCrCl3 crystal, as listed in Alexandria via LeMat-Bulk.

abc: 3.6950 8.3054 8.3054
angles: 119.66 90.00 90.00
Last column: magnetic moment on the atom in μB.
Fractional positions:
Cl 0.0000 0.2465 0.7535  0.04
Cl 0.5000 0.6315 0.7468  -0.03
Cl 0.5000 0.2532 0.3685  -0.03
Rb 0.5000 0.0792 0.9208  0.00
Cr 0.0000 0.4177 0.5823  3.59

As for the total magnetization: 4.0 μB/f.u. For the total DFT energy (no corrections), the calculation gives -4.422 eV per atom. As for the formation energy without anion corrections: -1196 meV/atom.



4.
First-principles (GGA-PBE) data for a relaxed KPaNiS3 crystal, as listed in Alexandria via LeMat-Bulk.

abc: 3.9094 7.3770 10.0719
angles: 90.00 90.00 105.37
Fractional positions:
S 0.6207 0.2415 0.4311
S 0.9377 0.8754 0.2500
S 0.3793 0.7585 0.9311
S 0.0623 0.1246 0.7500
S 0.6207 0.2415 0.0689
S 0.3793 0.7585 0.5689
Ni 0.5259 0.0519 0.2500
Ni 0.4741 0.9481 0.7500
K 0.7427 0.4854 0.7500
K 0.2573 0.5146 0.2500
Pa 0.0000 0.0000 0.0000
Pa 0.0000 0.0000 0.5000

As for the total magnetization: 0.0 μB/f.u. For the total DFT energy (no corrections), the calculation gives -6.196 eV per atom. As for the formation energy without anion corrections: -1404 meV/atom.



5.
First-principles (GGA-PBE) data for a relaxed Li5Ga2Au5 crystal, as listed in Alexandria via LeMat-Bulk.

abc: 4.0658 6.0394 9.0458
angles: 112.53 90.00 109.67
Fractional positions:
Au 0.1505 0.3010 0.4813
Au 0.8495 0.6990 0.5187
Au 0.0000 0.0000 0.0000
Au 0.2647 0.5295 0.2397
Au 0.7353 0.4705 0.7603
Ga 0.9185 0.8370 0.2454
Ga 0.0815 0.1630 0.7546
Li 0.3977 0.7954 0.7408
Li 0.3342 0.6685 0.9960
Li 0.6023 0.2046 0.2592
Li 0.5000 0.0000 0.5000
Li 0.6658 0.3315 0.0040

As for the total magnetization: 0.0 μB/f.u. For the total DFT energy (no corrections), the calculation gives -3.145 eV per atom. As for the formation energy: -478 meV per atom.



6.
First-principles (GGA-PBE) data for a relaxed LiCrAg3 crystal, as listed in Alexandria via LeMat-Bulk.

abc: 5.0694 5.0694 5.0694
angles: 90.00 90.00 90.00
Last column: magnetic moment on the atom in μB.
Fractional positions:
Li 0.5000 0.5000 0.5000  -0.01
Ag 0.0000 0.5000 0.0000  0.11
Ag 0.0000 0.0000 0.5000  0.14
Ag 0.5000 0.0000 0.0000  0.09
Cr 0.0000 0.0000 0.0000  3.83

As for the total magnetization: 4.6 μB/f.u. The value obtained for the excess energy over the best structure of this formula in the dataset is 0.0 kJ per mole of atoms. For the total DFT energy (no corrections), the calculation gives -3.233 eV per atom. As for the formation energy: 785 meV per atom.



7.
First-principles (GGA-PBE) data for a relaxed SrSc2Sb2 crystal, as listed in Alexandria via LeMat-Bulk.

abc: 5.5188 5.5188 6.4977
angles: 64.87 64.87 90.00
Fractional positions:
Sc 0.6643 0.6643 0.6714
Sc 0.3357 0.3357 0.3286
Sb 0.7500 0.2500 0.5000
Sb 0.2500 0.7500 0.5000
Sr 0.0000 0.0000 0.0000

As for the total magnetization: 0.0 μB/f.u. The value obtained for the excess energy over the best structure of this formula in the dataset is 23.3 kJ per mole of atoms. For the total DFT energy (no corrections), the calculation gives -5.075 eV per atom. As for the formation energy without anion corrections: -557 meV/atom.



8.
First-principles (GGA-PBE) data for a relaxed SrTeOs2Au crystal, as listed in Alexandria via LeMat-Bulk.

abc: 4.8964 5.3562 4.8964
angles: 90.00 90.00 90.00
Last column: magnetic moment on the atom in μB.
Fractional positions:
Te 0.0000 0.0000 0.0000  -0.01
Os 0.5000 0.0000 0.0000  0.34
Os 0.0000 0.0000 0.5000  0.30
Au 0.0000 0.5000 0.0000  0.01
Sr 0.5000 0.5000 0.5000  0.00

As for the total magnetization: 0.7 μB/f.u. For the total DFT energy (no corrections), the calculation gives -5.000 eV per atom. As for the formation energy without anion corrections: 1112 meV/atom.



9.
First-principles (GGA-PBE) data for a relaxed SrLa3 crystal, as listed in Alexandria via LeMat-Bulk.

abc: 3.8048 5.4056 7.7968
angles: 90.00 90.00 90.00
Fractional positions:
La 0.5000 0.5000 0.2792
La 0.5000 0.5000 0.7208
La 0.0000 0.0000 0.5000
Sr 0.0000 0.0000 0.0000

As for the total magnetization: 0.0 μB/f.u. For the total DFT energy (no corrections), the calculation gives -4.028 eV per atom. As for the formation energy: 88 meV per atom.



10.
First-principles (GGA-PBE) data for a relaxed Dy2TmTl3Te6 crystal, as listed in Alexandria via LeMat-Bulk.

abc: 7.6846 7.6846 8.5803
angles: 98.59 98.59 119.99
Fractional positions:
Dy 0.3335 0.6665 0.0000
Dy 0.6665 0.3335 0.0000
Tl 0.8322 0.1678 0.5000
Tl 0.5000 0.5000 0.5000
Tl 0.1678 0.8322 0.5000
Te 0.0706 0.4011 0.2119
Te 0.9294 0.5989 0.7881
Te 0.2594 0.2594 0.7872
Te 0.7406 0.7406 0.2128
Te 0.5989 0.9294 0.7881
Te 0.4011 0.0706 0.2119
Tm 0.0000 0.0000 0.0000

As for the total magnetization: 0.0 μB/f.u. For the total DFT energy (no corrections), the calculation gives -4.347 eV per atom. As for the formation energy without anion corrections: -1045 meV/atom.